Entry 1:
Here is a geometry-optimized CoRu2Pt structure from the Alexandria database. Energies are from GGA-PBE.

Results
Energy above the lowest structure with this stoichiometry   89 meV/atom
Energy relative to the elements   0.138 eV/atom
E   -7.79 eV per atom
Magnetic moment   0.356 μB/atom

a b c (Å): 8.8994 8.8994 8.8994
angles (deg): 17.39 17.39 17.39
Site moments in Bohr magnetons follow the coordinates.
Element x y z (fractional)
Co  0.2500  0.2500  0.2500  1.47
Pt  0.7500  0.7500  0.7500  -0.03
Ru  0.9942  0.9942  0.9942  0.00
Ru  0.5058  0.5058  0.5058  0.00

---

Entry 2:
Here is a geometry-optimized Sr2GaBiPt structure from the Alexandria database. Energies are from GGA-PBE.

Results
Energy relative to the elements   -0.708 eV/atom
E   -3.97 eV per atom
Magnetic moment   0.000 μB/atom

a b c (Å): 5.8269 5.8269 4.8427
angles (deg): 90.00 90.00 90.00
Element x y z (fractional)
Sr  0.0000  0.5000  0.0000
Sr  0.5000  0.0000  0.0000
Ga  0.0000  0.0000  0.5000
Bi  0.5000  0.5000  0.5000
Pt  0.0000  0.0000  0.0000

---

Entry 3:
Here is a geometry-optimized MgTi2 structure from the Alexandria database. Energies are from GGA-PBE.

Results
Energy relative to the elements   0.163 eV/atom
E   -5.63 eV per atom
Magnetic moment   0.000 μB/atom

a b c (Å): 4.6790 5.4472 8.7445
angles (deg): 90.00 90.00 90.00
Element x y z (fractional)
Mg  0.0000  0.0823  0.1627
Mg  0.0000  0.0823  0.8373
Mg  0.5000  0.9177  0.3373
Mg  0.5000  0.9177  0.6627
Ti  0.0000  0.5637  0.0000
Ti  0.0000  0.5852  0.3346
Ti  0.0000  0.1488  0.5000
Ti  0.0000  0.5852  0.6654
Ti  0.5000  0.8512  0.0000
Ti  0.5000  0.4148  0.1654
Ti  0.5000  0.4363  0.5000
Ti  0.5000  0.4148  0.8346